Entry 1:
Entry from Alexandria via LeMat-Bulk: an optimized crystal structure of HfTi2HgO (PBE).

It has space group P4/mmm (No. 123), with a = 4.1799 Å, b = 4.1799 Å, c = 4.4766 Å, α = 90.00°, β = 90.00° and γ = 90.00°. The asymmetric unit holds Hf at (0.0000, 0.0000, 0.0000), Ti at (0.0000, 0.5000, 0.5000), Hg at (0.5000, 0.5000, 0.0000) and O at (0.0000, 0.0000, 0.5000).

Its formation energy without anion corrections is -1.0505 eV per atom. The density of states at the Fermi level is 0.99 states/eV per atom. For the magnetization, the calculation gives 0.433 Bohr magnetons per cell.

***

Entry 2:
Entry from Alexandria via LeMat-Bulk: an optimized crystal structure of HfUHgO6 (PBE).

It has space group Imma (No. 74), with a = 7.8269 Å, b = 7.9415 Å, c = 10.9729 Å, α = 90.00°, β = 90.00° and γ = 90.00°. The asymmetric unit holds Hf at (0.2500, 0.2500, 0.2500), U at (0.0000, 0.0000, 0.0000), Hg at (0.0000, 0.2500, 0.5166), O at (0.0000, 0.2500, 0.3207), O at (0.0000, 0.2500, 0.9349) and O at (0.1870, 0.0698, 0.1216).

Its formation energy without anion corrections is -2.3502 eV per atom. The density of states at the Fermi level is 0.60 states/eV per atom. For the magnetization, the calculation gives 0.000 Bohr magnetons per cell.